Sm4TlSeS2: relaxed, PBE.

For the mass density, the calculation gives 7.673 g/cm³. As for the density of states at the Fermi level: 3.644 states/eV/f.u. As for the size of the total moment: 0.0 μB/cell. The uncorrected formation energy comes out at -1.513 eV per atom.

It has space group P2/m (No. 10), with a = 7.259 Å, b = 4.083 Å, c = 7.307 Å, α = 90.00°, β = 108.49° and γ = 90.00°. Symmetry generates all atoms from Sm at (0.233, 0.000, 0.226), Sm at (0.252, 0.500, 0.768), Tl at (0.500, 0.500, 0.500), Se at (0.000, 0.000, 0.500), S at (0.000, 0.500, 0.000) and S at (0.500, 0.000, 0.000).

Ta7Co: relaxed, PBE.

For the mass density, the calculation gives 15.429 g/cm³. As for the density of states at the Fermi level: 10.393 states/eV/f.u. As for the size of the total moment: 7.5 μB/cell. The formation energy comes out at 0.2532 eV/atom.

It has space group Fm-3m (No. 225), with a = 8.295 Å, b = 8.295 Å, c = 8.295 Å, α = 90.00°, β = 90.00° and γ = 90.00°. Symmetry generates all atoms from Ta at (0.000, 0.000, 0.000), Ta at (0.000, 0.250, 0.250) and Co at (0.000, 0.000, 0.500).

NiGeP3: relaxed, PBE.

For the mass density, the calculation gives 4.568 g/cm³. As for the density of states at the Fermi level: 1.429 states/eV/f.u. As for the size of the total moment: 0.0 μB/cell. The formation energy comes out at -0.1986 eV/atom.

It has space group P1 (No. 1), with a = 5.309 Å, b = 5.969 Å, c = 6.187 Å, α = 80.42°, β = 68.04° and γ = 63.70°. Symmetry generates all atoms from Ni at (0.000, 0.000, 0.000), Ni at (0.185, 0.630, 0.500), Ge at (0.751, 0.944, 0.418), Ge at (0.879, 0.686, 0.919), P at (0.044, 0.338, 0.454), P at (0.121, 0.281, 0.084), P at (0.253, 0.955, 0.598), P at (0.393, 0.675, 0.097), P at (0.568, 0.292, 0.955) and P at (0.587, 0.350, 0.584).